1.
# PBE Nd5Tl4In, optimized geometry
# ΔH_f (0 K) = -0.41 eV per atom
data_Nd5Tl4In
_symmetry_space_group_name_H-M 'P 4/m m m'
_symmetry_Int_Tables_number 123
_symmetry_space_group_name_Hall '-P 4 2'
_cell_length_a 3.8916
_cell_length_b 3.8916
_cell_length_c 19.5687
_cell_angle_alpha 90.00
_cell_angle_beta 90.00
_cell_angle_gamma 90.00
loop_
_atom_site_label
_atom_site_type_symbol
_atom_site_fract_x
_atom_site_fract_y
_atom_site_fract_z
Nd1 Nd 0.0000 0.0000 0.0000
Nd2 Nd 0.0000 0.0000 0.2009
Nd3 Nd 0.0000 0.0000 0.4016
Tl1 Tl 0.5000 0.5000 0.1006
Tl2 Tl 0.5000 0.5000 0.3011
In1 In 0.5000 0.5000 0.5000

2.
# PBE TlSb2Br, optimized geometry
# formation energy without anion corrections = 0.063 eV per atom
data_TlSb2Br
_symmetry_space_group_name_H-M 'P m m m'
_symmetry_Int_Tables_number 47
_symmetry_space_group_name_Hall '-P 2 2'
_cell_length_a 3.3673
_cell_length_b 6.1633
_cell_length_c 6.3171
_cell_angle_alpha 90.00
_cell_angle_beta 90.00
_cell_angle_gamma 90.00
loop_
_atom_site_label
_atom_site_type_symbol
_atom_site_fract_x
_atom_site_fract_y
_atom_site_fract_z
Tl1 Tl 0.0000 0.0000 0.0000
Sb1 Sb 0.5000 0.5000 0.2177
Br1 Br 0.0000 0.0000 0.5000

3.
# PBE KGe2Os, optimized geometry
# ΔH_f (0 K) = 0.09 eV per atom
data_KGe2Os
_symmetry_space_group_name_H-M 'I 41/a m d'
_symmetry_Int_Tables_number 141
_cell_length_a 6.2371
_cell_length_b 6.2371
_cell_length_c 13.7036
_cell_angle_alpha 90.00
_cell_angle_beta 90.00
_cell_angle_gamma 90.00
loop_
_symmetry_equiv_pos_as_xyz
'x,y,z'
'-x,-y,-z'
'-y+1/4,x+3/4,z+1/4'
'y+1/4,-x+3/4,-z+1/4'
'-x+1/2,-y,z+1/2'
'x+1/2,y,-z+1/2'
'y+1/4,-x+1/4,z+3/4'
'-y+1/4,x+1/4,-z+3/4'
'x,-y,-z'
'-x,y,z'
'-y+1/4,-x+1/4,-z+3/4'
'y+1/4,x+1/4,z+3/4'
'-x+1/2,y,-z+1/2'
'x+1/2,-y,z+1/2'
'y+1/4,x+3/4,-z+1/4'
'-y+1/4,-x+3/4,z+1/4'
'x+1/2,y+1/2,z+1/2'
'-x+1/2,-y+1/2,-z+1/2'
'-y+3/4,x+1/4,z+3/4'
'y+3/4,-x+1/4,-z+3/4'
'-x,-y+1/2,z'
'x,y+1/2,-z'
'y+3/4,-x+3/4,z+1/4'
'-y+3/4,x+3/4,-z+1/4'
'x+1/2,-y+1/2,-z+1/2'
'-x+1/2,y+1/2,z+1/2'
'-y+3/4,-x+3/4,-z+1/4'
'y+3/4,x+3/4,z+1/4'
'-x,y+1/2,-z'
'x,-y+1/2,z'
'y+3/4,x+1/4,-z+3/4'
'-y+3/4,-x+1/4,z+3/4'
loop_
_atom_site_label
_atom_site_type_symbol
_atom_site_fract_x
_atom_site_fract_y
_atom_site_fract_z
K1 K 0.0000 0.2500 0.3750
Ge1 Ge 0.0000 0.0000 0.0000
Os1 Os 0.0000 0.2500 0.8750

| no. | DOS at the Fermi energy (states/eV/f.u.) | total magnetization (μB per cell) |
| --- | --- | --- |
| 1 | 7.4 | 0.0 |
| 2 | 3.1 | 0.0 |
| 3 | 1.5 | 0.0 |